# NaCa2AcF8, optimized geometry, DFT GGA-PBE
data_NaCa2AcF8
_chemical_formula_sum 'Na1 Ca2 Ac1 F8'
_cell_length_a 4.070
_cell_length_b 5.687
_cell_length_c 8.031
_cell_angle_alpha 90.00
_cell_angle_beta 90.00
_cell_angle_gamma 90.00
_space_group_name_H-M_alt 'P 1'
_space_group_IT_number 1
loop_
_space_group_symop_operation_xyz
'x,y,z'
loop_
_atom_site_label
_atom_site_type_symbol
_atom_site_fract_x
_atom_site_fract_y
_atom_site_fract_z
_atom_site_occupancy
Ac1 Ac 0.000 0.000 0.500 1
F1 F 0.500 0.260 0.000 1
F2 F 0.500 0.741 0.500 1
F3 F 0.500 0.259 0.500 1
F4 F 0.000 0.264 0.744 1
F5 F 0.500 0.740 0.000 1
F6 F 0.000 0.264 0.256 1
F7 F 0.000 0.736 0.256 1
F8 F 0.000 0.736 0.744 1
Na1 Na 0.000 0.000 0.000 1
Ca1 Ca 0.500 0.500 0.777 1
Ca2 Ca 0.500 0.500 0.223 1
# - Energy relative to the elements, uncorrected: -4383 kJ/mol of formula units
# - Spin magnetization: 0.004 μB per atom
# - Volume: 15.492 Å³/atom



# Tl2IrI, optimized geometry, DFT GGA-PBE
data_Tl2IrI
_chemical_formula_sum 'Tl4 Ir2 I2'
_cell_length_a 6.536
_cell_length_b 6.536
_cell_length_c 8.665
_cell_angle_alpha 67.84
_cell_angle_beta 67.84
_cell_angle_gamma 90.00
_space_group_name_H-M_alt 'P 1'
_space_group_IT_number 1
loop_
_space_group_symop_operation_xyz
'x,y,z'
loop_
_atom_site_label
_atom_site_type_symbol
_atom_site_fract_x
_atom_site_fract_y
_atom_site_fract_z
_atom_site_occupancy
I1 I 0.500 0.500 0.000 1
I2 I 0.250 0.750 0.500 1
Tl1 Tl 0.375 0.268 0.750 1
Tl2 Tl 0.018 0.625 0.250 1
Tl3 Tl 0.875 0.982 0.750 1
Tl4 Tl 0.732 0.125 0.250 1
Ir1 Ir 0.750 0.250 0.500 1
Ir2 Ir 0.000 0.000 0.000 1
# - Energy above the most stable polymorph in this dataset: 0.000 eV/atom
# - Energy relative to the elements, uncorrected: 161 kJ/mol of formula units
# - Spin magnetization: 0.000 μB per atom
# - Volume: 39.139 Å³/atom



# ThSiRuO, optimized geometry, DFT GGA-PBE
data_ThSiRuO
_chemical_formula_sum 'Th2 Si2 Ru2 O2'
_cell_length_a 4.175
_cell_length_b 4.175
_cell_length_c 7.749
_cell_angle_alpha 90.00
_cell_angle_beta 90.00
_cell_angle_gamma 90.00
_space_group_name_H-M_alt 'P 1'
_space_group_IT_number 1
loop_
_space_group_symop_operation_xyz
'x,y,z'
loop_
_atom_site_label
_atom_site_type_symbol
_atom_site_fract_x
_atom_site_fract_y
_atom_site_fract_z
_atom_site_occupancy
Si1 Si 0.500 0.000 0.643 1
Si2 Si 0.000 0.500 0.357 1
O1 O 0.000 0.000 0.000 1
O2 O 0.500 0.500 0.000 1
Ru1 Ru 0.000 0.000 0.500 1
Ru2 Ru 0.500 0.500 0.500 1
Th1 Th 0.500 0.000 0.160 1
Th2 Th 0.000 0.500 0.840 1
# - Energy relative to the elements, uncorrected: -742 kJ/mol of formula units
# - Spin magnetization: 0.000 μB per atom
# - Volume: 16.882 Å³/atom



# PrMg2Ag6, optimized geometry, DFT GGA-PBE
data_PrMg2Ag6
_chemical_formula_sum 'Pr1 Mg2 Ag6'
_cell_length_a 3.170
_cell_length_b 8.389
_cell_length_c 8.389
_cell_angle_alpha 58.92
_cell_angle_beta 79.11
_cell_angle_gamma 79.11
_space_group_name_H-M_alt 'P 1'
_space_group_IT_number 1
loop_
_space_group_symop_operation_xyz
'x,y,z'
loop_
_atom_site_label
_atom_site_type_symbol
_atom_site_fract_x
_atom_site_fract_y
_atom_site_fract_z
_atom_site_occupancy
Ag1 Ag 0.677 0.001 0.645 1
Ag2 Ag 0.323 0.999 0.355 1
Ag3 Ag 0.500 0.335 0.665 1
Ag4 Ag 0.500 0.665 0.335 1
Ag5 Ag 0.677 0.645 0.001 1
Ag6 Ag 0.323 0.355 0.999 1
Mg1 Mg 0.852 0.648 0.648 1
Mg2 Mg 0.148 0.352 0.352 1
Pr1 Pr 0.000 0.000 0.000 1
# - Formation energy: -0.11 eV per atom
# - Spin magnetization: 0.000 μB per atom
# - Volume: 20.725 Å³/atom



# ThTlZnHg, optimized geometry, DFT GGA-PBE
data_ThTlZnHg
_chemical_formula_sum 'Th1 Tl1 Zn1 Hg1'
_cell_length_a 5.193
_cell_length_b 5.193
_cell_length_c 5.193
_cell_angle_alpha 60.00
_cell_angle_beta 60.00
_cell_angle_gamma 60.00
_space_group_name_H-M_alt 'P 1'
_space_group_IT_number 1
loop_
_space_group_symop_operation_xyz
'x,y,z'
loop_
_atom_site_label
_atom_site_type_symbol
_atom_site_fract_x
_atom_site_fract_y
_atom_site_fract_z
_atom_site_occupancy
Zn1 Zn 0.000 0.000 0.000 1
Th1 Th 0.750 0.750 0.750 1
Tl1 Tl 0.250 0.250 0.250 1
Hg1 Hg 0.500 0.500 0.500 1
# - Formation energy: -0.06 eV per atom
# - Spin magnetization: 0.000 μB per atom
# - Volume: 24.761 Å³/atom



# NiPt2Rh, optimized geometry, DFT GGA-PBE
data_NiPt2Rh
_chemical_formula_sum 'Ni1 Pt2 Rh1'
_cell_length_a 8.979
_cell_length_b 8.979
_cell_length_c 8.979
_cell_angle_alpha 17.53
_cell_angle_beta 17.53
_cell_angle_gamma 17.53
_space_group_name_H-M_alt 'P 1'
_space_group_IT_number 1
loop_
_space_group_symop_operation_xyz
'x,y,z'
loop_
_atom_site_label
_atom_site_type_symbol
_atom_site_fract_x
_atom_site_fract_y
_atom_site_fract_z
_atom_site_occupancy
Rh1 Rh 0.505 0.505 0.505 1
Ni1 Ni 0.248 0.248 0.248 1
Pt1 Pt 0.995 0.995 0.995 1
Pt2 Pt 0.752 0.752 0.752 1
# - Formation energy: -0.03 eV per atom
# - Spin magnetization: 0.417 μB per atom
# - Volume: 14.335 Å³/atom



# AcDyAg2Te4, optimized geometry, DFT GGA-PBE
data_AcDyAg2Te4
_chemical_formula_sum 'Ac1 Dy1 Ag2 Te4'
_cell_length_a 7.613
_cell_length_b 7.016
_cell_length_c 7.016
_cell_angle_alpha 69.07
_cell_angle_beta 57.14
_cell_angle_gamma 57.14
_space_group_name_H-M_alt 'P 1'
_space_group_IT_number 1
loop_
_space_group_symop_operation_xyz
'x,y,z'
loop_
_atom_site_label
_atom_site_type_symbol
_atom_site_fract_x
_atom_site_fract_y
_atom_site_fract_z
_atom_site_occupancy
Te1 Te 0.468 0.085 0.528 1
Te2 Te 0.081 0.915 0.472 1
Te3 Te 0.532 0.472 0.915 1
Te4 Te 0.919 0.528 0.085 1
Dy1 Dy 0.500 0.500 0.500 1
Ag1 Ag 0.163 0.337 0.337 1
Ag2 Ag 0.837 0.663 0.663 1
Ac1 Ac 0.000 0.000 0.000 1
# - Energy relative to the elements, uncorrected: -633 kJ/mol of formula units
# - Spin magnetization: 0.000 μB per atom
# - Volume: 32.917 Å³/atom



# Lu2PaMn, optimized geometry, DFT GGA-PBE
data_Lu2PaMn
_chemical_formula_sum 'Lu2 Pa1 Mn1'
_cell_length_a 3.281
_cell_length_b 3.281
_cell_length_c 10.405
_cell_angle_alpha 80.93
_cell_angle_beta 80.93
_cell_angle_gamma 60.00
_space_group_name_H-M_alt 'P 1'
_space_group_IT_number 1
loop_
_space_group_symop_operation_xyz
'x,y,z'
loop_
_atom_site_label
_atom_site_type_symbol
_atom_site_fract_x
_atom_site_fract_y
_atom_site_fract_z
_atom_site_occupancy
Lu1 Lu 0.758 0.758 0.726 1
Lu2 Lu 0.242 0.242 0.274 1
Pa1 Pa 0.000 0.000 0.000 1
Mn1 Mn 0.500 0.500 0.500 1
# - Formation energy: 0.27 eV per atom
# - Spin magnetization: 0.828 μB per atom
# - Volume: 23.851 Å³/atom



# RbRhSe2, optimized geometry, DFT GGA-PBE
data_RbRhSe2
_chemical_formula_sum 'Rb8 Rh8 Se16'
_cell_length_a 20.526
_cell_length_b 7.114
_cell_length_c 7.114
_cell_angle_alpha 70.50
_cell_angle_beta 102.15
_cell_angle_gamma 77.85
_space_group_name_H-M_alt 'P 1'
_space_group_IT_number 1
loop_
_space_group_symop_operation_xyz
'x,y,z'
loop_
_atom_site_label
_atom_site_type_symbol
_atom_site_fract_x
_atom_site_fract_y
_atom_site_fract_z
_atom_site_occupancy
Rh1 Rh 0.820 0.448 0.928 1
Rh2 Rh 0.320 0.572 0.052 1
Rh3 Rh 0.180 0.552 0.072 1
Rh4 Rh 0.313 0.010 0.176 1
Rh5 Rh 0.680 0.428 0.948 1
Rh6 Rh 0.813 0.324 0.490 1
Rh7 Rh 0.187 0.676 0.510 1
Rh8 Rh 0.687 0.990 0.824 1
Se1 Se 0.750 0.270 0.770 1
Se2 Se 0.092 0.628 0.258 1
Se3 Se 0.278 0.804 0.671 1
Se4 Se 0.592 0.242 0.872 1
Se5 Se 0.104 0.735 0.704 1
Se6 Se 0.396 0.204 0.235 1
Se7 Se 0.896 0.265 0.296 1
Se8 Se 0.778 0.829 0.696 1
Se9 Se 0.604 0.796 0.765 1
Se10 Se 0.722 0.196 0.329 1
Se11 Se 0.250 0.390 0.890 1
Se12 Se 0.222 0.171 0.304 1
Se13 Se 0.908 0.372 0.742 1
Se14 Se 0.250 0.730 0.230 1
Se15 Se 0.750 0.610 0.110 1
Se16 Se 0.408 0.758 0.128 1
Rb1 Rb 0.452 0.690 0.666 1
Rb2 Rb 0.548 0.310 0.334 1
Rb3 Rb 0.048 0.166 0.190 1
Rb4 Rb 0.138 0.172 0.728 1
Rb5 Rb 0.638 0.772 0.328 1
Rb6 Rb 0.362 0.228 0.672 1
Rb7 Rb 0.862 0.828 0.272 1
Rb8 Rb 0.952 0.834 0.810 1
# - Energy relative to the elements, uncorrected: -214 kJ/mol of formula units
# - Spin magnetization: 0.000 μB per atom
# - Volume: 28.494 Å³/atom



For each record above, in turn, the calculated DOS at the Fermi energy values are 0.00; 4.21; 2.89; 4.06; 4.65; 5.57; 0.81; 5.84; 6.71 states/eV/cell.